Entry 1:
Entry from Alexandria via LeMat-Bulk: BaSeOF2 after structural relaxation (PBE-GGA).

Formation energy from raw total energies   -8.976 eV per formula unit
Raw total energy   -4.617 eV/atom
Relative energy among the computed polymorphs   0.000 eV/atom
Total magnetic moment   0.0 μB/cell

Lattice parameters (Å, degrees): 4.794 4.794 3.960 90.00 90.00 90.00
Space group P4/mmm (No. 123)
Asymmetric unit:
Ba (0.000, 0.000, 0.000) (multiplicity 1)
Se (0.500, 0.500, 0.500) (multiplicity 1)
O (0.500, 0.500, 0.000) (multiplicity 1)
F (0.000, 0.500, 0.500) (multiplicity 2)


Entry 2:
Entry from Alexandria via LeMat-Bulk: Sr2TeCl after structural relaxation (PBE-GGA).

Formation energy from raw total energies   -6.571 eV per formula unit
Raw total energy   -3.731 eV/atom
Relative energy among the computed polymorphs   0.014 eV/atom
Total magnetic moment   0.0 μB/cell

Lattice parameters (Å, degrees): 4.595 4.595 6.449 90.00 90.00 90.00
Space group P4/mmm (No. 123)
Asymmetric unit:
Sr (0.000, 0.000, 0.000) (multiplicity 1)
Sr (0.500, 0.500, 0.500) (multiplicity 1)
Te (0.000, 0.000, 0.500) (multiplicity 1)
Cl (0.500, 0.500, 0.000) (multiplicity 1)


Entry 3:
Entry from Alexandria via LeMat-Bulk: KTl3Sb after structural relaxation (PBE-GGA).

Formation energy from raw total energies   -0.503 eV per formula unit
Raw total energy   -2.564 eV/atom
Relative energy among the computed polymorphs   0.031 eV/atom
Total magnetic moment   0.0 μB/cell

Lattice parameters (Å, degrees): 8.554 8.135 5.967 90.00 122.84 90.00
Space group Cm (No. 8)
Asymmetric unit:
K (0.000, 0.000, 0.000) (multiplicity 2)
Tl (0.188, 0.500, 0.236) (multiplicity 2)
Tl (0.491, 0.205, 0.488) (multiplicity 4)
Sb (0.300, 0.000, 0.757) (multiplicity 2)


Entry 4:
Entry from Alexandria via LeMat-Bulk: Tm3Sc2Ni2 after structural relaxation (PBE-GGA).

Raw total energy   -5.581 eV/atom
Relative energy among the computed polymorphs   0.071 eV/atom
DFT formation energy   -0.2037 eV/atom
Total magnetic moment   0.0 μB/cell

Lattice parameters (Å, degrees): 11.655 3.530 9.536 90.00 126.15 90.00
Space group C2/m (No. 12)
Asymmetric unit:
Tm (0.000, 0.000, 0.000) (multiplicity 2)
Tm (0.047, 0.500, 0.706) (multiplicity 4)
Sc (0.238, 0.000, 0.632) (multiplicity 4)
Ni (0.233, 0.500, 0.072) (multiplicity 4)


Entry 5:
Entry from Alexandria via LeMat-Bulk: Li2MgTaGa after structural relaxation (PBE-GGA).

Raw total energy   -3.524 eV/atom
DFT formation energy   0.5361 eV/atom
Total magnetic moment   0.5 μB/cell

Lattice parameters (Å, degrees): 4.559 4.559 4.993 90.00 90.00 90.00
Space group P4/mmm (No. 123)
Asymmetric unit:
Li (0.000, 0.500, 0.000) (multiplicity 2)
Mg (0.000, 0.000, 0.500) (multiplicity 1)
Ta (0.500, 0.500, 0.500) (multiplicity 1)
Ga (0.500, 0.500, 0.000) (multiplicity 1)


Entry 6:
Entry from Alexandria via LeMat-Bulk: Ce3Pr4NdS8 after structural relaxation (PBE-GGA).

Formation energy from raw total energies   -32.554 eV per formula unit
Raw total energy   -6.704 eV/atom
Total magnetic moment   6.8 μB/cell

Lattice parameters (Å, degrees): 8.1434 8.1434 19.9493 90.00 90.00 120.00
Space group R-3m (No. 166, hexagonal axes)
Asymmetric unit:
Ce (0.0000, 0.5000, 0.0000) (multiplicity 9)
Pr (0.0000, 0.0000, 0.5000) (multiplicity 3)
Pr (0.0000, 0.5000, 0.5000) (multiplicity 9)
Nd (0.0000, 0.0000, 0.0000) (multiplicity 3)
S (0.0000, 0.0000, 0.2521) (multiplicity 6)
S (0.0017, 0.5009, 0.2519) (multiplicity 18)


Entry 7:
Entry from Alexandria via LeMat-Bulk: Ac7Ir2Ru2 after structural relaxation (PBE-GGA).

Raw total energy   -6.077 eV/atom
DFT formation energy   -0.1645 eV/atom
Total magnetic moment   0.0 μB/cell

Lattice parameters (Å, degrees): 8.351 12.511 8.047 90.00 95.48 90.00
Space group C2/m (No. 12)
Asymmetric unit:
Ac (0.000, 0.000, 0.000) (multiplicity 2)
Ac (0.112, 0.500, 0.712) (multiplicity 4)
Ac (0.238, 0.188, 0.727) (multiplicity 8)
Ir (0.000, 0.312, 0.500) (multiplicity 4)
Ru (0.189, 0.500, 0.071) (multiplicity 4)


Entry 8:
Entry from Alexandria via LeMat-Bulk: La4Tl2P after structural relaxation (PBE-GGA).

Raw total energy   -4.942 eV/atom
Relative energy among the computed polymorphs   0.000 eV/atom
DFT formation energy   -0.6770 eV/atom
Total magnetic moment   0.0 μB/cell

Lattice parameters (Å, degrees): 13.108 4.326 9.440 90.00 121.62 90.00
Space group C2/m (No. 12)
Asymmetric unit:
La (0.086, 0.000, 0.351) (multiplicity 4)
La (0.165, 0.500, 0.067) (multiplicity 4)
Tl (0.131, 0.500, 0.663) (multiplicity 4)
P (0.000, 0.000, 0.000) (multiplicity 2)


Entry 9:
Entry from Alexandria via LeMat-Bulk: Cu3P2H2O9 after structural relaxation (PBE-GGA).

Raw total energy   -6.009 eV/atom
Total magnetic moment   21.5 μB/cell

Lattice parameters (Å, degrees): 18.025 6.251 12.411 90.00 103.60 90.00
Space group C2/c (No. 15)
Asymmetric unit:
Cu (0.089, 0.194, 0.360) (multiplicity 8)
Cu (0.115, 0.396, 0.688) (multiplicity 8)
Cu (0.238, 0.090, 0.901) (multiplicity 8)
P (0.066, 0.313, 0.902) (multiplicity 8)
P (0.248, 0.103, 0.644) (multiplicity 8)
H (0.029, 0.002, 0.137) (multiplicity 8)
H (0.046, 0.243, 0.093) (multiplicity 8)
O (0.020, 0.250, 0.629) (multiplicity 8)
O (0.021, 0.160, 0.146) (multiplicity 8)
O (0.082, 0.500, 0.325) (multiplicity 8)
O (0.091, 0.379, 0.024) (multiplicity 8)
O (0.110, 0.114, 0.873) (multiplicity 8)
O (0.165, 0.166, 0.624) (multiplicity 8)
O (0.203, 0.211, 0.389) (multiplicity 8)
O (0.215, 0.452, 0.231) (multiplicity 8)
O (0.244, 0.403, 0.928) (multiplicity 8)


Entry 10:
Entry from Alexandria via LeMat-Bulk: MgH2 after structural relaxation (PBE-GGA).

Raw total energy   -2.907 eV/atom
Total magnetic moment   0.0 μB/cell

Lattice parameters (Å, degrees): 2.9983 2.9983 4.3852 90.00 90.00 120.00
Space group P-3m1 (No. 164)
Asymmetric unit:
Mg (0.0000, 0.0000, 0.0000) (multiplicity 1)
H (0.3333, 0.6667, 0.2137) (multiplicity 2)


Entry 11:
Entry from Alexandria via LeMat-Bulk: Tb3TmTl3 after structural relaxation (PBE-GGA).

Raw total energy   -3.883 eV/atom
Relative energy among the computed polymorphs   0.000 eV/atom
DFT formation energy   -0.2457 eV/atom
Total magnetic moment   0.0 μB/cell

Lattice parameters (Å, degrees): 9.336 9.336 9.336 90.00 90.00 90.00
Space group P2_13 (No. 198)
Asymmetric unit:
Tb (0.070, 0.430, 0.570) (multiplicity 4)
Tb (0.175, 0.825, 0.325) (multiplicity 4)
Tb (0.176, 0.176, 0.176) (multiplicity 4)
Tm (0.075, 0.575, 0.925) (multiplicity 4)
Tl (0.001, 0.254, 0.871) (multiplicity 12)


Entry 12:
Entry from Alexandria via LeMat-Bulk: SmZn2Pd2Pt after structural relaxation (PBE-GGA).

Raw total energy   -4.346 eV/atom
DFT formation energy   -0.3970 eV/atom
Total magnetic moment   0.0 μB/cell

Lattice parameters (Å, degrees): 4.724 4.724 5.526 90.00 90.00 90.00
Space group P4/mmm (No. 123)
Asymmetric unit:
Sm (0.000, 0.000, 0.000) (multiplicity 1)
Zn (0.000, 0.500, 0.500) (multiplicity 2)
Pd (0.500, 0.500, 0.245) (multiplicity 2)
Pt (0.000, 0.000, 0.500) (multiplicity 1)